Density functional theory data (PBE) for a relaxed structure of YCdIr2. Values from VASP.

volume = 74.06 Å³ per cell
space group = No. 25
uncorrected energy = -25.5 eV for the cell shown

Structure (Quantum ESPRESSO input):
```
&SYSTEM
  ibrav = 0, nat = 4, ntyp = 3
/
ATOMIC_SPECIES
Cd 112.41 Cd.upf
Y 88.91 Y.upf
Ir 192.22 Ir.upf
CELL_PARAMETERS angstrom
-0.040 1.707 -2.503
1.495 -3.247 -2.238
-5.419 -1.738 -1.099
ATOMIC_POSITIONS angstrom
Cd -3.488 -2.122 -3.225
Y -2.584 -0.829 -0.524
Ir -5.409 -1.735 -1.097
Ir -0.611 -1.200 -2.642
```

Density functional theory data (PBE) for a relaxed structure of Ti2AlTc2. Values from VASP.

volume = 79.65 Å³ per cell
space group = No. 65
uncorrected energy = -40.9 eV for the cell shown

Structure (Quantum ESPRESSO input):
```
&SYSTEM
  ibrav = 0, nat = 5, ntyp = 3
/
ATOMIC_SPECIES
Ti 47.87 Ti.upf
Al 26.98 Al.upf
Tc 98.00 Tc.upf
CELL_PARAMETERS angstrom
2.857 0.000 0.000
0.000 3.948 0.748
0.000 0.683 7.190
ATOMIC_POSITIONS angstrom
Ti 1.429 1.688 1.883
Ti 1.429 2.943 6.055
Al 0.000 0.000 0.000
Tc 0.000 1.196 4.483
Tc 0.000 3.435 3.455
```

Density functional theory data (PBE) for a relaxed structure of TbAl2GaNi4. Values from VASP.

volume = 117.47 Å³ per cell
space group = No. 166
uncorrected energy = -42.4 eV for the cell shown

Structure (Quantum ESPRESSO input):
```
&SYSTEM
  ibrav = 0, nat = 8, ntyp = 4
/
ATOMIC_SPECIES
Ni 58.69 Ni.upf
Al 26.98 Al.upf
Tb 158.93 Tb.upf
Ga 69.72 Ga.upf
CELL_PARAMETERS angstrom
4.071 0.000 0.000
2.036 3.526 0.000
2.036 1.175 8.184
ATOMIC_POSITIONS angstrom
Ni 2.036 1.175 4.931
Al 6.107 3.526 5.897
Ni 6.107 3.526 3.253
Tb 0.000 0.000 0.000
Ni 4.071 2.351 1.741
Al 2.036 1.175 2.287
Ni 4.071 2.351 6.442
Ga 4.071 2.351 4.092
```

Density functional theory data (PBE) for a relaxed structure of Li2Mg2Hg2Pb. Values from VASP.

volume = 150.49 Å³ per cell
space group = No. 12
uncorrected energy = -12.8 eV for the cell shown

Structure (Quantum ESPRESSO input):
```
&SYSTEM
  ibrav = 0, nat = 7, ntyp = 4
/
ATOMIC_SPECIES
Mg 24.30 Mg.upf
Hg 200.59 Hg.upf
Li 6.94 Li.upf
Pb 207.20 Pb.upf
CELL_PARAMETERS angstrom
4.053 0.000 0.000
-2.026 4.915 0.422
0.000 -0.970 7.472
ATOMIC_POSITIONS angstrom
Mg 0.000 1.950 6.464
Mg 2.026 1.995 1.430
Hg 0.000 0.988 3.335
Li 0.000 3.985 2.703
Pb 0.000 0.000 0.000
Hg 2.026 2.957 4.559
Li 2.026 -0.040 5.191
```

Density functional theory data (PBE) for a relaxed structure of NbAgRuRh. Values from VASP.

volume = 63.46 Å³ per cell
space group = No. 216
uncorrected energy = -29.5 eV for the cell shown

Structure (Quantum ESPRESSO input):
```
&SYSTEM
  ibrav = 0, nat = 4, ntyp = 4
/
ATOMIC_SPECIES
Rh 102.91 Rh.upf
Ru 101.07 Ru.upf
Nb 92.91 Nb.upf
Ag 107.87 Ag.upf
CELL_PARAMETERS angstrom
4.477 0.000 0.000
2.239 3.877 0.000
2.239 1.292 3.656
ATOMIC_POSITIONS angstrom
Rh 6.716 3.877 2.742
Ru 2.239 1.292 0.914
Nb 4.477 2.585 1.828
Ag 0.000 0.000 0.000
```

Density functional theory data (PBE) for a relaxed structure of ScFe2Ag. Values from VASP.

volume = 62.03 Å³ per cell
space group = No. 139
uncorrected energy = -25.6 eV for the cell shown

Structure (Quantum ESPRESSO input):
```
&SYSTEM
  ibrav = 0, nat = 4, ntyp = 3
/
ATOMIC_SPECIES
Fe 55.84 Fe.upf
Ag 107.87 Ag.upf
Sc 44.96 Sc.upf
CELL_PARAMETERS angstrom
4.970 -0.010 0.012
3.476 3.553 0.012
1.497 0.628 3.510
ATOMIC_POSITIONS angstrom
Fe 1.498 0.628 3.510
Ag 2.486 1.043 0.884
Fe 4.972 2.085 1.767
Sc 7.457 3.128 2.651
```